DFT (PBE-GGA) results for a relaxed AcPm4 crystal.

POSCAR file:
```
AcPm4
1.0
9.6810 0.0000 0.0000
0.0000 5.6516 0.0000
-0.0210 0.0000 7.2978
Ac Pm
2 8
Cartesian
0.0000 0.0000 0.0000
-0.0105 2.8258 3.6489
2.8555 1.4098 5.4675
2.8660 1.4160 1.8185
3.6914 4.2329 3.6410
3.6809 4.2445 7.2899
5.9791 1.4071 0.0079
5.9686 1.4187 3.6568
6.7940 4.2356 5.4793
6.8045 4.2418 1.8304
```

Spin magnetization, μB/f.u.: 0.00
Uncorrected energy, eV/atom: -4.37
Calculated formation energy, kJ per mole of atoms: 24
Energy above the most stable polymorph in this dataset, meV per atom: 89.1
DOS(E_F), states/eV per cell: 14.642
Calculated density, g/cm³: 6.71

---

DFT (PBE-GGA) results for a relaxed AcPm crystal.

POSCAR file:
```
AcPm
1.0
4.2917 0.0000 0.0000
0.0000 4.2917 0.0000
0.0000 0.0000 4.2917
Ac Pm
1 1
Cartesian
0.0000 0.0000 0.0000
2.1459 2.1459 2.1459
```

Spin magnetization, μB/f.u.: 0.00
Uncorrected energy, eV/atom: -4.32
Calculated formation energy, kJ per mole of atoms: 11
Energy above the most stable polymorph in this dataset, meV per atom: 71.9
DOS(E_F), states/eV per cell: 4.567
Calculated density, g/cm³: 7.81

---

DFT (PBE-GGA) results for a relaxed Ac3Pm7 crystal.

POSCAR file:
```
Ac3Pm7
1.0
9.5445 -2.6664 0.0000
9.5445 2.6664 0.0000
-1.5334 0.0000 7.3201
Ac Pm
3 7
Cartesian
0.0000 0.0000 0.0000
2.8444 0.0000 4.4093
14.7112 0.0000 2.9108
-0.7667 0.0000 3.6600
3.6683 0.0000 0.7294
7.3299 0.0000 1.4458
6.5894 0.0000 5.1226
10.9662 0.0000 2.1975
10.2258 0.0000 5.8743
13.8874 0.0000 6.5907
```

Spin magnetization, μB/f.u.: 0.00
Uncorrected energy, eV/atom: -4.53
Calculated formation energy, kJ per mole of atoms: 3
DOS(E_F), states/eV per cell: 16.533
Calculated density, g/cm³: 7.56